Record 1
{
  "formula": "BaTmCd2Pb2",
  "functional": "PBE",
  "state": "relaxed",
  "spacegroup": "P-3m1",
  "e_form_mev_per_atom": -364,
  "dos_at_fermi_per_ev_atom": 0.589,
  "dft_energy_ev_per_atom": -2.9705,
  "lattice_angstrom": [[5.082, 0.000, 0.000], [-2.541, 4.401, 0.000], [0.000, 0.000, 8.285]],
  "species": ["Ba", "Tm", "Cd", "Cd", "Pb", "Pb"],
  "fractional_positions": [[0.000, 0.000, 0.000], [0.000, 0.000, 0.500], [0.333, 0.667, 0.655], [0.667, 0.333, 0.345], [0.333, 0.667, 0.256], [0.667, 0.333, 0.744]]
}


Record 2
{
  "formula": "Ba2VCdPb",
  "functional": "PBE",
  "state": "relaxed",
  "spacegroup": "P4/mmm",
  "e_form_mev_per_atom": 655,
  "dos_at_fermi_per_ev_atom": 1.477,
  "dft_energy_ev_per_atom": -2.8623,
  "lattice_angstrom": [[6.757, 0.000, 0.000], [0.000, 6.757, 0.000], [0.000, 0.000, 5.424]],
  "species": ["Ba", "Ba", "V", "Cd", "Pb"],
  "fractional_positions": [[0.000, 0.500, 0.000], [0.500, 0.000, 0.000], [0.000, 0.000, 0.500], [0.500, 0.500, 0.500], [0.500, 0.500, 0.000]]
}


Record 3
{
  "formula": "BaCdPbW2",
  "functional": "PBE",
  "state": "relaxed",
  "spacegroup": "P4/mmm",
  "e_form_mev_per_atom": 1943,
  "dos_at_fermi_per_ev_atom": 1.188,
  "dft_energy_ev_per_atom": -4.5475,
  "lattice_angstrom": [[5.558, 0.000, 0.000], [0.000, 5.558, 0.000], [0.000, 0.000, 5.484]],
  "species": ["Ba", "Cd", "Pb", "W", "W"],
  "fractional_positions": [[0.000, 0.000, 0.000], [0.500, 0.500, 0.000], [0.500, 0.500, 0.500], [0.000, 0.500, 0.500], [0.500, 0.000, 0.500]]
}


Record 4
{
  "formula": "BaYCdPb2",
  "functional": "PBE",
  "state": "relaxed",
  "spacegroup": "P4/mmm",
  "e_form_mev_per_atom": -100,
  "dos_at_fermi_per_ev_atom": 0.633,
  "dft_energy_ev_per_atom": -3.4439,
  "lattice_angstrom": [[5.860, 0.000, 0.000], [0.000, 5.860, 0.000], [0.000, 0.000, 5.887]],
  "species": ["Ba", "Y", "Cd", "Pb", "Pb"],
  "fractional_positions": [[0.000, 0.000, 0.000], [0.500, 0.500, 0.500], [0.500, 0.500, 0.000], [0.000, 0.500, 0.500], [0.500, 0.000, 0.500]]
}


Question: Number 1 is which compound?
Answer: BaTmCd2Pb2